First-principles (PBE with a Hubbard U) data for crystalline Li2NiO2F at its relaxed geometry, as listed in the Alexandria database.

Values from the calculation:
The energy above the most stable polymorph in this dataset is 102 meV per atom. Its magnetization is 0.33 μB/atom.

abc: 5.0848 9.2552 5.0847
angles: 100.42 71.01 79.05
Sites, in units of the cell vectors:
1 Li 0.5901 0.8388 0.3863
2 Li 0.2406 0.4947 0.7477
3 Li 0.1916 0.6728 0.3308
4 Li 0.7367 0.4988 0.2740
5 Li 0.2975 0.3388 0.1791
6 Li 0.5251 0.9989 0.9857
7 Li 0.4079 0.1728 0.6145
8 Li 0.0029 0.9947 0.4854
9 O 0.6760 0.1759 0.8344
10 O 0.0429 0.3207 0.9247
11 O 0.4084 0.6759 0.6019
12 O 0.9532 0.4923 0.5550
13 O 0.6004 0.3236 0.4442
14 O 0.8124 0.9924 0.1958
15 O 0.3539 0.8207 0.1138
16 O 0.8705 0.8236 0.6741
17 F 0.4667 0.4962 0.0308
18 F 0.1791 0.1646 0.3248
19 F 0.2842 0.9963 0.7132
20 F 0.9103 0.6646 0.0938
21 Ni 0.1073 0.8309 0.8989
22 Ni 0.8178 0.3309 0.6884
23 Ni 0.6780 0.6813 0.7972
24 Ni 0.8659 0.1813 0.1094